1.
# Mg2ScPb4 GGA-PBE relaxed
# - magnetization (μB per atom) = 0.00
data_Mg2ScPb4
_space_group_name_H-M_alt 'I 4/m m m'
_space_group_IT_number 139
_space_group_name_Hall '-I 4 2'
_cell_length_a 5.6419
_cell_length_b 5.6419
_cell_length_c 14.6501
_cell_angle_alpha 90.00
_cell_angle_beta 90.00
_cell_angle_gamma 90.00
loop_
_atom_site_label
_atom_site_type_symbol
_atom_site_fract_x
_atom_site_fract_y
_atom_site_fract_z
Mg1 Mg 0.0000 0.0000 0.1071
Sc1 Sc 0.0000 0.0000 0.5000
Pb1 Pb 0.0000 0.0000 0.3038
Pb2 Pb 0.0000 0.5000 0.0000

2.
# Mg2ScPb4 GGA-PBE relaxed
# - magnetization (μB per atom) = 0.00
data_Mg2ScPb4
_space_group_name_H-M_alt 'I 4/m m m'
_space_group_IT_number 139
_space_group_name_Hall '-I 4 2'
_cell_length_a 7.1710
_cell_length_b 7.1710
_cell_length_c 7.5703
_cell_angle_alpha 90.00
_cell_angle_beta 90.00
_cell_angle_gamma 90.00
loop_
_atom_site_label
_atom_site_type_symbol
_atom_site_fract_x
_atom_site_fract_y
_atom_site_fract_z
Mg1 Mg 0.0000 0.5000 0.0000
Sc1 Sc 0.0000 0.0000 0.0000
Pb1 Pb 0.2500 0.2500 0.2500

Result of the stability comparison: 2 is the most stable of them.

1.
# MgScPb4 GGA-PBE relaxed
# - magnetization (μB per atom) = 0.00
data_MgScPb4
_space_group_name_H-M_alt 'P 1 21/c 1'
_space_group_IT_number 14
_cell_length_a 6.7533
_cell_length_b 7.3756
_cell_length_c 6.8132
_cell_angle_alpha 90.00
_cell_angle_beta 90.78
_cell_angle_gamma 90.00
loop_
_space_group_symop_operation_xyz
'x,y,z'
'-x,-y,-z'
'-x,y+1/2,-z+1/2'
'x,-y+1/2,z+1/2'
loop_
_atom_site_label
_atom_site_type_symbol
_atom_site_fract_x
_atom_site_fract_y
_atom_site_fract_z
Mg1 Mg 0.0000 0.0000 0.0000
Sc1 Sc 0.5000 0.0000 0.0000
Pb1 Pb 0.2449 0.1681 0.6546
Pb2 Pb 0.2478 0.6728 0.8411

2.
# MgScPb4 GGA-PBE relaxed
# - magnetization (μB per atom) = 0.00
data_MgScPb4
_space_group_name_H-M_alt 'F -4 3 m'
_space_group_IT_number 216
_space_group_name_Hall 'F -4 2 3'
_cell_length_a 9.0406
_cell_length_b 9.0406
_cell_length_c 9.0406
_cell_angle_alpha 90.00
_cell_angle_beta 90.00
_cell_angle_gamma 90.00
loop_
_atom_site_label
_atom_site_type_symbol
_atom_site_fract_x
_atom_site_fract_y
_atom_site_fract_z
Mg1 Mg 0.0000 0.0000 0.0000
Sc1 Sc 0.2500 0.2500 0.2500
Pb1 Pb 0.1241 0.1241 0.6241

Result of the stability comparison: 1 is the most stable of them.

1.
# Mg2ScPb2 GGA-PBE relaxed
# - magnetization (μB per atom) = 0.00
data_Mg2ScPb2
_space_group_name_H-M_alt 'P 63/m m c'
_space_group_IT_number 194
_space_group_name_Hall '-P 6c 2c'
_cell_length_a 4.9690
_cell_length_b 4.9690
_cell_length_c 12.5485
_cell_angle_alpha 90.00
_cell_angle_beta 90.00
_cell_angle_gamma 120.00
loop_
_atom_site_label
_atom_site_type_symbol
_atom_site_fract_x
_atom_site_fract_y
_atom_site_fract_z
Mg1 Mg 0.0000 0.0000 0.0000
Mg2 Mg 0.3333 0.6667 0.2500
Sc1 Sc 0.0000 0.0000 0.2500
Pb1 Pb 0.3333 0.6667 0.6200

2.
# Mg2ScPb2 GGA-PBE relaxed
# - magnetization (μB per atom) = 0.00
data_Mg2ScPb2
_space_group_name_H-M_alt 'P 4/m b m'
_space_group_IT_number 127
_space_group_name_Hall '-P 4 2ab'
_cell_length_a 8.3995
_cell_length_b 8.3995
_cell_length_c 3.6093
_cell_angle_alpha 90.00
_cell_angle_beta 90.00
_cell_angle_gamma 90.00
loop_
_atom_site_label
_atom_site_type_symbol
_atom_site_fract_x
_atom_site_fract_y
_atom_site_fract_z
Mg1 Mg 0.1388 0.3612 0.0000
Sc1 Sc 0.0000 0.0000 0.5000
Pb1 Pb 0.1610 0.6610 0.5000

Result of the stability comparison: 2 is the most stable of them.

1.
# MgScZnPb GGA-PBE relaxed
# - magnetization (μB per atom) = 0.00
data_MgScZnPb
_space_group_name_H-M_alt 'F -4 3 m'
_space_group_IT_number 216
_space_group_name_Hall 'F -4 2 3'
_cell_length_a 7.0408
_cell_length_b 7.0408
_cell_length_c 7.0408
_cell_angle_alpha 90.00
_cell_angle_beta 90.00
_cell_angle_gamma 90.00
loop_
_atom_site_label
_atom_site_type_symbol
_atom_site_fract_x
_atom_site_fract_y
_atom_site_fract_z
Mg1 Mg 0.0000 0.0000 0.0000
Sc1 Sc 0.0000 0.0000 0.5000
Zn1 Zn 0.2500 0.2500 0.2500
Pb1 Pb 0.2500 0.2500 0.7500

2.
# MgScZnPb GGA-PBE relaxed
# - magnetization (μB per atom) = 0.00
data_MgScZnPb
_space_group_name_H-M_alt 'P m m m'
_space_group_IT_number 47
_cell_length_a 4.2128
_cell_length_b 4.4171
_cell_length_c 4.5570
_cell_angle_alpha 90.00
_cell_angle_beta 90.00
_cell_angle_gamma 90.00
loop_
_space_group_symop_operation_xyz
'x,y,z'
'-x,-y,-z'
'-x,-y,z'
'x,y,-z'
'x,-y,-z'
'-x,y,z'
'-x,y,-z'
'x,-y,z'
loop_
_atom_site_label
_atom_site_type_symbol
_atom_site_fract_x
_atom_site_fract_y
_atom_site_fract_z
Mg1 Mg 0.0000 0.0000 0.0000
Sc1 Sc 0.0000 0.5000 0.5000
Zn1 Zn 0.5000 0.5000 0.0000
Pb1 Pb 0.5000 0.0000 0.5000

Result of the stability comparison: 2 is the most stable of them.

1.
# MgSi2Pb GGA-PBE relaxed
# - magnetization (μB per atom) = 0.00
data_MgSi2Pb
_space_group_name_H-M_alt 'I -4 2 d'
_space_group_IT_number 122
_space_group_name_Hall 'I -4 2bw'
_cell_length_a 6.5103
_cell_length_b 6.5103
_cell_length_c 11.0485
_cell_angle_alpha 90.00
_cell_angle_beta 90.00
_cell_angle_gamma 90.00
loop_
_atom_site_label
_atom_site_type_symbol
_atom_site_fract_x
_atom_site_fract_y
_atom_site_fract_z
Mg1 Mg 0.0000 0.0000 0.0000
Si1 Si 0.2470 0.2500 0.1250
Pb1 Pb 0.0000 0.0000 0.5000

2.
# MgSi2Pb GGA-PBE relaxed
# - magnetization (μB per atom) = 0.00
data_MgSi2Pb
_space_group_name_H-M_alt 'P m m m'
_space_group_IT_number 47
_cell_length_a 4.1902
_cell_length_b 4.3682
_cell_length_c 4.5783
_cell_angle_alpha 90.00
_cell_angle_beta 90.00
_cell_angle_gamma 90.00
loop_
_space_group_symop_operation_xyz
'x,y,z'
'-x,-y,-z'
'-x,-y,z'
'x,y,-z'
'x,-y,-z'
'-x,y,z'
'-x,y,-z'
'x,-y,z'
loop_
_atom_site_label
_atom_site_type_symbol
_atom_site_fract_x
_atom_site_fract_y
_atom_site_fract_z
Mg1 Mg 0.0000 0.0000 0.0000
Si1 Si 0.0000 0.5000 0.5000
Si2 Si 0.5000 0.0000 0.5000
Pb1 Pb 0.5000 0.5000 0.0000

3.
# MgSi2Pb GGA-PBE relaxed
# - magnetization (μB per atom) = 0.00
data_MgSi2Pb
_space_group_name_H-M_alt 'C m m m'
_space_group_IT_number 65
_space_group_name_Hall '-C 2 2'
_cell_length_a 4.5075
_cell_length_b 4.6470
_cell_length_c 8.0669
_cell_angle_alpha 90.00
_cell_angle_beta 90.00
_cell_angle_gamma 90.00
loop_
_atom_site_label
_atom_site_type_symbol
_atom_site_fract_x
_atom_site_fract_y
_atom_site_fract_z
Mg1 Mg 0.0000 0.0000 0.0000
Si1 Si 0.0000 0.5000 0.2135
Pb1 Pb 0.0000 0.0000 0.5000

4.
# MgSi2Pb GGA-PBE relaxed
# - magnetization (μB per atom) = 0.00
data_MgSi2Pb
_space_group_name_H-M_alt 'F m -3 m'
_space_group_IT_number 225
_space_group_name_Hall '-F 4 2 3'
_cell_length_a 7.0206
_cell_length_b 7.0206
_cell_length_c 7.0206
_cell_angle_alpha 90.00
_cell_angle_beta 90.00
_cell_angle_gamma 90.00
loop_
_atom_site_label
_atom_site_type_symbol
_atom_site_fract_x
_atom_site_fract_y
_atom_site_fract_z
Mg1 Mg 0.0000 0.0000 0.0000
Si1 Si 0.2500 0.2500 0.2500
Pb1 Pb 0.0000 0.0000 0.5000

Result of the stability comparison: 3 is the most stable of them.